The following is a DFT calculation (PBE) of a relaxed structure of Ca2UVN5.

Crystal system: orthorhombic
E_form (uncorrected): -1180 meV/atom
Calculated density: 5.9 Mg/m³
Total energy: -306.6 eV/cell

Geometry as CIF:
```
data_Ca2UVN5
_symmetry_space_group_name_H-M 'C m c 21'
_symmetry_Int_Tables_number 36
_symmetry_space_group_name_Hall 'C 2c -2'
_cell_length_a 3.4023
_cell_length_b 13.8865
_cell_length_c 10.5230
_cell_angle_alpha 90.00
_cell_angle_beta 90.00
_cell_angle_gamma 90.00
loop_
_atom_site_label
_atom_site_type_symbol
_atom_site_fract_x
_atom_site_fract_y
_atom_site_fract_z
_atom_site_occupancy
Ca1 Ca 0.0000 0.1022 0.0000 1
Ca2 Ca 0.0000 0.1333 0.6040 1
U1 U 0.0000 0.2141 0.3196 1
V1 V 0.0000 0.4953 0.7674 1
N1 N 0.0000 0.0495 0.3284 1
N2 N 0.0000 0.2830 0.9466 1
N3 N 0.0000 0.2957 0.6988 1
N4 N 0.0000 0.3772 0.3126 1
N5 N 0.0000 0.4979 0.1039 1
```


The following is a DFT calculation (PBE) of a relaxed structure of TbHfNb.

Crystal system: tetragonal
Calculated formation energy: 0.193 eV per atom
Calculated density: 9.9 Mg/m³
Total energy: -48.2 eV/cell

Geometry as CIF:
```
data_TbHfNb
_symmetry_space_group_name_H-M 'I 4 m m'
_symmetry_Int_Tables_number 107
_symmetry_space_group_name_Hall 'I 4 -2'
_cell_length_a 3.6662
_cell_length_b 3.6662
_cell_length_c 10.7028
_cell_angle_alpha 90.00
_cell_angle_beta 90.00
_cell_angle_gamma 90.00
loop_
_atom_site_label
_atom_site_type_symbol
_atom_site_fract_x
_atom_site_fract_y
_atom_site_fract_z
_atom_site_occupancy
Tb1 Tb 0.0000 0.0000 0.0000 1
Hf1 Hf 0.0000 0.0000 0.2982 1
Nb1 Nb 0.0000 0.0000 0.6913 1
```


The following is a DFT calculation (PBE) of a relaxed structure of Mo2PBr.

Crystal system: orthorhombic
E_form (uncorrected): 371 meV/atom
Calculated density: 7.2 Mg/m³
Total energy: -54.5 eV/cell

Geometry as CIF:
```
data_Mo2PBr
_symmetry_space_group_name_H-M 'C m m m'
_symmetry_Int_Tables_number 65
_symmetry_space_group_name_Hall '-C 2 2'
_cell_length_a 3.4779
_cell_length_b 5.2065
_cell_length_c 7.6923
_cell_angle_alpha 90.00
_cell_angle_beta 90.00
_cell_angle_gamma 90.00
loop_
_atom_site_label
_atom_site_type_symbol
_atom_site_fract_x
_atom_site_fract_y
_atom_site_fract_z
_atom_site_occupancy
Mo1 Mo 0.0000 0.0000 0.1972 1
P1 P 0.0000 0.5000 0.0000 1
Br1 Br 0.0000 0.5000 0.5000 1
```


The following is a DFT calculation (PBE) of a relaxed structure of CdCoPb4.

Crystal system: cubic
Calculated formation energy: 0.711 eV per atom
Calculated density: 9.1 Mg/m³
Total energy: -74.3 eV/cell

Geometry as CIF:
```
data_CdCoPb4
_symmetry_space_group_name_H-M 'F -4 3 m'
_symmetry_Int_Tables_number 216
_symmetry_space_group_name_Hall 'F -4 2 3'
_cell_length_a 9.0099
_cell_length_b 9.0099
_cell_length_c 9.0099
_cell_angle_alpha 90.00
_cell_angle_beta 90.00
_cell_angle_gamma 90.00
loop_
_atom_site_label
_atom_site_type_symbol
_atom_site_fract_x
_atom_site_fract_y
_atom_site_fract_z
_atom_site_occupancy
Cd1 Cd 0.0000 0.0000 0.0000 1
Co1 Co 0.2500 0.2500 0.7500 1
Pb1 Pb 0.1245 0.1245 0.3755 1
```